An optimized crystal structure of NbInPt, computed with PBE.

Cell: 5.508 7.799 11.103 Å, 90.00 90.00 90.00°
Space group Fmmm (No. 69)
Symmetry-distinct sites (fractional):
Nb (0.250, 0.250, 0.250)
In (0.000, 0.177, 0.000)
Pt (0.000, 0.000, 0.371)

Values from the calculation:
Its calculated formation energy is -35 kJ/mol of formula units. For the total energy, the calculation gives -6.41 eV/atom.


An optimized crystal structure of La2SnBr, computed with PBE.

Cell: 7.816 7.816 7.816 Å, 90.00 90.00 90.00°
Space group Fm-3m (No. 225)
Symmetry-distinct sites (fractional):
La (0.250, 0.250, 0.250)
Sn (0.000, 0.000, 0.000)
Br (0.000, 0.000, 0.500)

Values from the calculation:
The formation energy from raw total energies is -1.0146 eV/atom. For the total energy, the calculation gives -4.90 eV/atom.


An optimized crystal structure of Tb2PmPr6Tm3, computed with PBE.

Cell: 6.305 10.923 11.884 Å, 90.00 100.16 90.00°
Space group C2/m (No. 12)
Symmetry-distinct sites (fractional):
Tb (0.000, 0.167, 0.000)
Pm (0.000, 0.500, 0.000)
Pr (0.249, 0.167, 0.747)
Pr (0.249, 0.500, 0.747)
Tm (0.000, 0.000, 0.500)
Tm (0.000, 0.333, 0.500)

Values from the calculation:
Its calculated formation energy is 17 kJ/mol of formula units. For the total energy, the calculation gives -4.66 eV/atom.